Entry 1:
Entry from OQMD: NaZn2Ag2 after structural relaxation (PBE).

Cell lengths 7.923, 7.923, 2.897 Å; angles 90.00, 90.00, 90.00 degrees
Space group P4/mbm (No. 127)
Unique sites:
Na (0.000, 0.000, 0.000) [2 per cell]
Zn (0.118, 0.382, 0.000) [4 per cell]
Ag (0.179, 0.679, 0.500) [4 per cell]

Computed properties:
E: -1.98 eV per atom

---

Entry 2:
Entry from OQMD: NaZn4Ag after structural relaxation (PBE).

Cell lengths 4.307, 9.524, 5.204 Å; angles 90.00, 90.00, 90.00 degrees
Space group Amm2 (No. 38)
Unique sites:
Na (0.000, 0.000, 0.000) [2 per cell]
Zn (0.000, 0.179, 0.500) [4 per cell]
Zn (0.500, 0.245, 0.755) [4 per cell]
Ag (0.500, 0.000, 0.488) [2 per cell]

Computed properties:
E: -1.59 eV per atom

---

Entry 3:
Entry from OQMD: Nb2Ag after structural relaxation (PBE).

Cell lengths 7.660, 7.660, 7.660 Å; angles 90.00, 90.00, 90.00 degrees
Space group Fd-3m (No. 227, origin choice 2)
Unique sites:
Nb (0.000, 0.000, 0.000) [16 per cell]
Ag (0.125, 0.125, 0.625) [8 per cell]

Computed properties:
E: -7.24 eV per atom
calculated formation energy: 0.430 eV per atom

---

Entry 4:
Entry from OQMD: NbAg2 after structural relaxation (PBE).

Cell lengths 5.3386, 5.3386, 8.7224 Å; angles 90.00, 90.00, 120.00 degrees
Space group P6_3/mmc (No. 194)
Unique sites:
Nb (0.3333, 0.6667, 0.0509) [4 per cell]
Ag (0.0000, 0.0000, 0.0000) [2 per cell]
Ag (0.1704, 0.3407, 0.7500) [6 per cell]

Computed properties:
E: -4.74 eV per atom
calculated formation energy: 0.506 eV per atom

---

Entry 5:
Entry from OQMD: Nb2Ag after structural relaxation (PBE).

Cell lengths 11.948, 11.948, 11.948 Å; angles 90.00, 90.00, 90.00 degrees
Space group Fd-3m (No. 227, origin choice 2)
Unique sites:
Nb (0.000, 0.000, 0.000) [16 per cell]
Ag (0.125, 0.125, 0.125) [8 per cell]

Computed properties:
E: -4.02 eV per atom
calculated formation energy: 3.656 eV per atom

---

Entry 6:
Entry from OQMD: NbAg3 after structural relaxation (PBE).

Cell lengths 4.740, 6.090, 4.848 Å; angles 90.00, 90.00, 90.00 degrees
Space group Pmmn (No. 59, origin choice 2)
Unique sites:
Nb (0.250, 0.250, 0.176) [2 per cell]
Ag (0.250, 0.000, 0.675) [4 per cell]
Ag (0.250, 0.750, 0.172) [2 per cell]

Computed properties:
E: -4.29 eV per atom
calculated formation energy: 0.347 eV per atom

---

Entry 7:
Entry from OQMD: NbAg2 after structural relaxation (PBE).

Cell lengths 12.286, 12.286, 12.286 Å; angles 90.00, 90.00, 90.00 degrees
Space group Fd-3m (No. 227, origin choice 2)
Unique sites:
Nb (0.125, 0.125, 0.125) [8 per cell]
Ag (0.000, 0.000, 0.000) [16 per cell]

Computed properties:
E: -2.98 eV per atom
calculated formation energy: 2.263 eV per atom

---

Entry 8:
Entry from OQMD: Nb3Ag2 after structural relaxation (PBE).

Cell lengths 8.140, 8.140, 2.767 Å; angles 90.00, 90.00, 90.00 degrees
Space group P4/mbm (No. 127)
Unique sites:
Nb (0.000, 0.000, 0.000) [2 per cell]
Nb (0.178, 0.322, 0.500) [4 per cell]
Ag (0.119, 0.619, 0.000) [4 per cell]

Computed properties:
E: -6.70 eV per atom
calculated formation energy: 0.488 eV per atom

---

> Which of these has the lowest E?

number 3

---

Please write out number 5 again, unchanged.
Entry from OQMD: Nb2Ag after structural relaxation (PBE).

Cell lengths 11.948, 11.948, 11.948 Å; angles 90.00, 90.00, 90.00 degrees
Space group Fd-3m (No. 227, origin choice 2)
Unique sites:
Nb (0.000, 0.000, 0.000) [16 per cell]
Ag (0.125, 0.125, 0.125) [8 per cell]

Computed properties:
E: -4.02 eV per atom
calculated formation energy: 3.656 eV per atom

---

> Among the records above, which one has the highest E?

NaZn4Ag